VASP calculation (PBE) on a relaxed structure of LaVTe2.

```
LaVTe2
1.0
-3.499 -2.285 3.093
-1.752 2.481 4.220
-4.891 1.760 0.138
Te La V
2 1 1
direct
0.250 0.250 0.250
0.750 0.750 0.750
0.500 0.500 0.500
0.000 0.000 0.000
```

Properties
The calculation puts the total energy at -0.4078 Ry per atom. For the formation energy (no corrections), the calculation gives -1.86 eV per formula unit. Its space group is Fm-3m. As for the distance to the lowest polymorph of the same formula: 10 meV per atom. For the magnetic moment, the calculation gives 0.00 μB/f.u. The density of states at the Fermi level comes out at 0.07 states/eV/atom.

=====

VASP calculation (PBE) on a relaxed structure of La3V5Te12.

```
La3V5Te12
1.0
14.916 0.000 0.000
-4.972 14.063 0.000
-4.972 -7.031 12.179
La V Te
12 20 48
direct
0.750 0.375 0.125
0.875 0.750 0.125
0.375 0.750 0.625
0.250 0.125 0.375
0.875 0.125 0.250
0.375 0.625 0.250
0.625 0.375 0.750
0.125 0.875 0.750
0.750 0.875 0.625
0.625 0.250 0.375
0.125 0.250 0.875
0.250 0.625 0.875
0.125 0.375 0.250
0.000 0.500 0.000
0.000 0.000 0.000
0.375 0.250 0.125
0.500 0.000 0.500
0.500 0.500 0.000
0.125 0.750 0.375
0.750 0.125 0.875
0.750 0.625 0.375
0.375 0.125 0.750
0.625 0.875 0.250
0.500 0.500 0.500
0.500 0.000 0.000
0.000 0.000 0.500
0.250 0.375 0.625
0.250 0.875 0.125
0.000 0.500 0.500
0.875 0.250 0.625
0.625 0.750 0.875
0.875 0.625 0.750
0.706 0.116 0.028
0.321 0.528 0.412
0.972 0.384 0.294
0.528 0.206 0.116
0.591 0.706 0.679
0.972 0.588 0.179
0.321 0.794 0.409
0.088 0.909 0.116
0.588 0.972 0.679
0.706 0.591 0.179
0.794 0.472 0.384
0.821 0.912 0.028
0.116 0.706 0.528
0.384 0.412 0.091
0.091 0.912 0.384
0.409 0.116 0.588
0.091 0.179 0.206
0.472 0.679 0.088
0.821 0.909 0.294
0.116 0.409 0.088
0.384 0.972 0.794
0.588 0.616 0.409
0.912 0.821 0.528
0.794 0.321 0.909
0.412 0.384 0.591
0.088 0.179 0.472
0.206 0.679 0.091
0.179 0.091 0.706
0.616 0.028 0.206
0.884 0.591 0.912
0.528 0.321 0.912
0.591 0.884 0.412
0.909 0.821 0.794
0.909 0.088 0.616
0.884 0.294 0.472
0.179 0.088 0.972
0.616 0.588 0.909
0.412 0.028 0.321
0.294 0.409 0.821
0.206 0.528 0.616
0.912 0.091 0.884
0.679 0.206 0.591
0.472 0.794 0.884
0.028 0.412 0.821
0.409 0.294 0.321
0.028 0.616 0.706
0.679 0.472 0.588
0.294 0.884 0.972
```

Properties
The calculation puts the total energy at -0.4077 Ry per atom. For the formation energy (no corrections), the calculation gives -12.87 eV per formula unit. Its space group is Ia-3d. For the magnetic moment, the calculation gives 10.00 μB/f.u. The density of states at the Fermi level comes out at 0.38 states/eV/atom.

=====

VASP calculation (PBE) on a relaxed structure of La2V2Te.

```
La2V2Te
1.0
-1.691 5.627 -0.950
-3.459 -0.223 4.838
0.303 3.923 4.059
Te La V
1 2 2
direct
0.000 0.000 0.000
0.750 0.250 0.500
0.250 0.750 0.500
0.377 0.377 0.246
0.623 0.623 0.754
```

Properties
The calculation puts the total energy at -0.4318 Ry per atom. For the formation energy (no corrections), the calculation gives 1.86 eV per formula unit. Its space group is I4/mmm. As for the distance to the lowest polymorph of the same formula: 461 meV per atom. For the magnetic moment, the calculation gives 0.00 μB/f.u. The density of states at the Fermi level comes out at 1.36 states/eV/atom.